# 1
Compound: CaZn3Br
Source: Alexandria via LeMat-Bulk
Functional: PBE
Structure: optimized geometry

The structure belongs to space group Pm-3m (No. 221); the cell edges are 5.3537, 5.3537 and 5.3537 Å and the angles 90.00°, 90.00° and 90.00°. The asymmetric unit holds Ca at (0.0000, 0.0000, 0.0000), Zn at (0.0000, 0.5000, 0.5000) and Br at (0.5000, 0.5000, 0.5000).

For the energy above the most stable polymorph in this dataset, the calculation gives 25 meV per atom. The density of states at the Fermi level comes out at 2.9 states/eV/f.u. Its crystal system is cubic.

=====

# 2
Compound: SrPSe
Source: Alexandria via LeMat-Bulk
Functional: PBE
Structure: optimized geometry

The structure belongs to space group P1 (No. 1); the cell edges are 5.2008, 5.9984 and 6.1619 Å and the angles 87.74°, 68.69° and 72.31°. The asymmetric unit holds Sr at (0.0000, 0.0000, 0.0000), Sr at (0.1642, 0.4583, 0.4365), P at (0.6005, 0.8918, 0.6014), P at (0.6509, 0.2226, 0.6529), Se at (0.1773, 0.4564, 0.9268) and Se at (0.4267, 0.8982, 0.2878).

The electronic total energy is -27.53 eV/cell. Its crystal system is triclinic.

=====

# 3
Compound: RbMgB2
Source: Alexandria via LeMat-Bulk
Functional: PBE
Structure: optimized geometry

The structure belongs to space group I4_1/amd (No. 141, origin choice 2); the cell edges are 4.3692, 4.3692 and 16.8404 Å and the angles 90.00°, 90.00° and 90.00°. The asymmetric unit holds Rb at (0.0000, 0.2500, 0.3750), Mg at (0.0000, 0.2500, 0.8750) and B at (0.0000, 0.0000, 0.0000).

The calculation puts the formation energy at 1336 meV/atom. The density of states at the Fermi level comes out at 1.3 states/eV/f.u. Its crystal system is tetragonal.

=====

# 4
Compound: Y2SiTe
Source: Alexandria via LeMat-Bulk
Functional: PBE
Structure: optimized geometry

The structure belongs to space group Cmmm (No. 65); the cell edges are 4.6029, 5.6946 and 7.8237 Å and the angles 90.00°, 90.00° and 90.00°. The asymmetric unit holds Y at (0.0000, 0.0000, 0.2302), Si at (0.0000, 0.5000, 0.0000) and Te at (0.0000, 0.5000, 0.5000).

For the energy above the most stable polymorph in this dataset, the calculation gives 327 meV per atom. The density of states at the Fermi level comes out at 2.5 states/eV/f.u. Its crystal system is orthorhombic.

=====

# 5
Compound: BaTl4Pb4
Source: Alexandria via LeMat-Bulk
Functional: PBE
Structure: optimized geometry

The structure belongs to space group P4_2/nmc (No. 137, origin choice 2); the cell edges are 7.1838, 7.1838 and 12.2633 Å and the angles 90.00°, 90.00° and 90.00°. The asymmetric unit holds Ba at (0.2500, 0.7500, 0.2500), Tl at (0.0180, 0.2500, 0.0309) and Pb at (0.0285, 0.2500, 0.3167).

The calculation puts the formation energy at -84 meV/atom. For the energy above the most stable polymorph in this dataset, the calculation gives 36 meV per atom. The density of states at the Fermi level comes out at 4.9 states/eV/f.u. Its crystal system is tetragonal.

=====

# 6
Compound: CdSiP2
Source: Alexandria via LeMat-Bulk
Functional: PBE
Structure: optimized geometry

The structure belongs to space group R-3m (No. 166, hexagonal axes); the cell edges are 3.5575, 3.5575 and 19.2495 Å and the angles 90.00°, 90.00° and 120.00°. The asymmetric unit holds Cd at (0.0000, 0.0000, 0.0000), Si at (0.0000, 0.0000, 0.5000) and P at (0.0000, 0.0000, 0.2346).

For the energy above the most stable polymorph in this dataset, the calculation gives 262 meV per atom. The density of states at the Fermi level comes out at 1.6 states/eV/f.u. Its crystal system is trigonal.

=====

# 7
Compound: Li3AsOs
Source: Alexandria via LeMat-Bulk
Functional: PBE
Structure: optimized geometry

The structure belongs to space group Pm-3m (No. 221); the cell edges are 4.6387, 4.6387 and 4.6387 Å and the angles 90.00°, 90.00° and 90.00°. The asymmetric unit holds Li at (0.0000, 0.0000, 0.5000), As at (0.5000, 0.5000, 0.5000) and Os at (0.0000, 0.0000, 0.0000).

The calculation puts the formation energy at 1064 meV/atom. For the energy above the most stable polymorph in this dataset, the calculation gives 213 meV per atom. The density of states at the Fermi level comes out at 4.2 states/eV/f.u. Its crystal system is cubic.

=====

# 8
Compound: BAsPC
Source: Alexandria via LeMat-Bulk
Functional: PBE
Structure: optimized geometry

The structure belongs to space group P1 (No. 1); the cell edges are 3.1900, 4.1808 and 4.8483 Å and the angles 105.65°, 90.21° and 112.38°. The asymmetric unit holds B at (0.0000, 0.0000, 0.0000), As at (0.2807, 0.5556, 0.3210), P at (0.5765, 0.1552, 0.8397) and C at (0.8229, 0.6431, 0.0892).

The calculation puts the formation energy at 386 meV/atom. For the energy above the most stable polymorph in this dataset, the calculation gives 118 meV per atom. The density of states at the Fermi level comes out at 0.8 states/eV/f.u. Its crystal system is triclinic.

=====

# 9
Compound: BaSc2Al
Source: Alexandria via LeMat-Bulk
Functional: PBE
Structure: optimized geometry

The structure belongs to space group Pmm2 (No. 25); the cell edges are 3.6657, 3.6772 and 8.6861 Å and the angles 90.00°, 90.00° and 90.00°. The asymmetric unit holds Ba at (0.0000, 0.0000, 0.0000), Sc at (0.0000, 0.0000, 0.4367), Sc at (0.5000, 0.5000, 0.6479) and Al at (0.5000, 0.5000, 0.2843).

The calculation puts the formation energy at 11 meV/atom. The density of states at the Fermi level comes out at 4.2 states/eV/f.u. Its crystal system is orthorhombic.

=====

# 10
Compound: Tl2PtW
Source: Alexandria via LeMat-Bulk
Functional: PBE
Structure: optimized geometry

The structure belongs to space group Cm (No. 8); the cell edges are 10.9429, 2.9794 and 5.3082 Å and the angles 90.00°, 111.96° and 90.00°. The asymmetric unit holds Tl at (0.0000, 0.0000, 0.0000), Tl at (0.2107, 0.0000, 0.6068), Pt at (0.2638, 0.5000, 0.1319) and W at (0.4550, 0.0000, 0.4907).

The calculation puts the formation energy at 523 meV/atom. For the energy above the most stable polymorph in this dataset, the calculation gives 182 meV per atom. The density of states at the Fermi level comes out at 1.9 states/eV/f.u. Its crystal system is monoclinic.

=====

# 11
Compound: AlSb2Mo
Source: Alexandria via LeMat-Bulk
Functional: PBE
Structure: optimized geometry

The structure belongs to space group P4mm (No. 99); the cell edges are 3.3750, 3.3750 and 7.6213 Å and the angles 90.00°, 90.00° and 90.00°. The asymmetric unit holds Al at (0.0000, 0.0000, 0.0000), Sb at (0.0000, 0.0000, 0.3727), Sb at (0.5000, 0.5000, 0.7675) and Mo at (0.5000, 0.5000, 0.1640).

The density of states at the Fermi level comes out at 3.6 states/eV/f.u. The electronic total energy is -22.51 eV/cell. Its crystal system is tetragonal.

=====

# 12
Compound: PmHoH
Source: Alexandria via LeMat-Bulk
Functional: PBE
Structure: optimized geometry

The structure belongs to space group P3m1 (No. 156); the cell edges are 3.6566, 3.6566 and 5.6960 Å and the angles 90.00°, 90.00° and 120.00°. The asymmetric unit holds Pm at (0.0000, 0.0000, 0.0000), Ho at (0.6667, 0.3333, 0.5153) and H at (0.3333, 0.6667, 0.7446).

For the energy above the most stable polymorph in this dataset, the calculation gives 0 meV per atom. The density of states at the Fermi level comes out at 2.8 states/eV/f.u. Its crystal system is trigonal.